Computed, not measured: an optimized crystal structure of BaSc2Sb at the GGA-PBE level of DFT.

a b c (Å): 6.721 6.721 6.721
angles (deg): 143.49 137.52 57.23
Atoms (fractional coordinates):
Ba (0.000, 0.000, 0.000)
Sc (0.416, 0.416, 0.000)
Sc (0.721, 0.221, 0.500)
Sb (0.245, 0.745, 0.500)

Summary:
Symmetry: Imm2, No. 44
Energy (eV for the cell shown): -19.487
Raw formation energy (kJ/mol of formula units): -75